Here is a geometry-optimized Rb8PbO2 structure from the Alexandria database. Energies are from PBE.

## Properties
Uncorrected energy, eV/atom: -2.410
Calculated volume, Å³ per cell: 1020.8
Formation energy without anion corrections, meV per atom: -467
DOS(E_F), states/eV/f.u.: 5.7
Theoretical density, Mg/m³: 3.00

a = 9.910 Å, b = 21.781 Å, c = 4.729 Å
α = 90.00°, β = 90.07°, γ = 90.00°
Space group C2/m (No. 12)
One atom of each set of equivalent atoms:
Rb 0.000 0.172 0.000 [4 per cell]
Rb 0.122 0.000 0.250 [4 per cell]
Rb 0.207 0.377 0.442 [8 per cell]
Pb 0.000 0.500 0.000 [2 per cell]
O 0.000 0.102 0.500 [4 per cell]


Here is a geometry-optimized RbPb6O8 structure from the Alexandria database. Energies are from PBE.

## Properties
Uncorrected energy, eV/atom: -5.157
Calculated volume, Å³ per cell: 992.2
Formation energy without anion corrections, meV per atom: -965
DOS(E_F), states/eV/f.u.: 4.9
Theoretical density, Mg/m³: 7.31

a = 8.0893 Å, b = 8.0893 Å, c = 17.5090 Å
α = 90.00°, β = 90.00°, γ = 120.00°
Space group R-3 (No. 148, hexagonal axes)
One atom of each set of equivalent atoms:
Rb 0.0000 0.0000 0.0000 [3 per cell]
Pb 0.0041 0.5015 0.9063 [18 per cell]
O 0.0000 0.0000 0.2403 [6 per cell]
O 0.0158 0.5086 0.2231 [18 per cell]


Here is a geometry-optimized Rb2Pb2O3 structure from the Alexandria database. Energies are from PBE.

## Properties
Uncorrected energy, eV/atom: -4.648
Calculated volume, Å³ per cell: 355.2
Formation energy without anion corrections, meV per atom: -1187
Theoretical density, Mg/m³: 5.92

a = 6.343 Å, b = 8.290 Å, c = 6.871 Å
α = 90.00°, β = 100.54°, γ = 90.00°
Space group P2_1/c (No. 14)
One atom of each set of equivalent atoms:
Rb 0.243 0.131 0.389 [4 per cell]
Pb 0.291 0.630 0.448 [4 per cell]
O 0.000 0.000 0.000 [2 per cell]
O 0.451 0.059 0.793 [4 per cell]


Here is a geometry-optimized RbPbO2 structure from the Alexandria database. Energies are from PBE.

## Properties
Uncorrected energy, eV/atom: -4.788
Calculated volume, Å³ per cell: 383.5
Formation energy without anion corrections, meV per atom: -1140
DOS(E_F), states/eV/f.u.: 0.2
Theoretical density, Mg/m³: 5.62

a = 6.327 Å, b = 6.327 Å, c = 9.578 Å
α = 90.00°, β = 90.00°, γ = 90.00°
Space group I-42d (No. 122)
One atom of each set of equivalent atoms:
Rb 0.000 0.000 0.000 [4 per cell]
Pb 0.000 0.000 0.500 [4 per cell]
O 0.158 0.250 0.625 [8 per cell]


Here is a geometry-optimized Rb2PbO structure from the Alexandria database. Energies are from PBE.

## Properties
Uncorrected energy, eV/atom: -2.470
Calculated volume, Å³ per cell: 567.6
Formation energy without anion corrections, meV per atom: 180
DOS(E_F), states/eV/f.u.: 6.4
Theoretical density, Mg/m³: 4.61
Excess energy over the best structure of this formula in the dataset, meV per atom: 618

a = 8.280 Å, b = 8.280 Å, c = 8.280 Å
α = 90.00°, β = 90.00°, γ = 90.00°
Space group Fm-3m (No. 225)
One atom of each set of equivalent atoms:
Rb 0.250 0.250 0.250 [8 per cell]
Pb 0.000 0.000 0.000 [4 per cell]
O 0.000 0.000 0.500 [4 per cell]


Here is a geometry-optimized RbPbO2 structure from the Alexandria database. Energies are from PBE.

## Properties
Uncorrected energy, eV/atom: -4.777
Calculated volume, Å³ per cell: 324.4
Formation energy without anion corrections, meV per atom: -1129
DOS(E_F), states/eV/f.u.: 0.6
Theoretical density, Mg/m³: 6.65

a = 6.629 Å, b = 4.031 Å, c = 12.140 Å
α = 90.00°, β = 90.00°, γ = 90.00°
Space group Pnma (No. 62)
One atom of each set of equivalent atoms:
Rb 0.079 0.250 0.130 [4 per cell]
Pb 0.071 0.750 0.378 [4 per cell]
O 0.156 0.250 0.467 [4 per cell]
O 0.169 0.250 0.751 [4 per cell]


Here is a geometry-optimized Rb2Pb2O3 structure from the Alexandria database. Energies are from PBE.

## Properties
Uncorrected energy, eV/atom: -4.705
Calculated volume, Å³ per cell: 716.2
Formation energy without anion corrections, meV per atom: -1244
DOS(E_F), states/eV/f.u.: 0.0
Theoretical density, Mg/m³: 5.87

a = 8.947 Å, b = 8.947 Å, c = 8.947 Å
α = 90.00°, β = 90.00°, γ = 90.00°
Space group I2_13 (No. 199)
One atom of each set of equivalent atoms:
Rb 0.015 0.015 0.015 [8 per cell]
Pb 0.246 0.246 0.246 [8 per cell]
O 0.000 0.250 0.276 [12 per cell]


Here is a geometry-optimized Rb5PbO4 structure from the Alexandria database. Energies are from PBE.

## Properties
Uncorrected energy, eV/atom: -3.791
Calculated volume, Å³ per cell: 520.6
Formation energy without anion corrections, meV per atom: -953
DOS(E_F), states/eV/f.u.: 2.1
Theoretical density, Mg/m³: 4.46
Excess energy over the best structure of this formula in the dataset, meV per atom: 133

a = 17.851 Å, b = 3.933 Å, c = 7.705 Å
α = 90.00°, β = 105.79°, γ = 90.00°
Space group C2/m (No. 12)
One atom of each set of equivalent atoms:
Rb 0.000 0.000 0.000 [2 per cell]
Rb 0.152 0.500 0.830 [4 per cell]
Rb 0.159 0.500 0.376 [4 per cell]
Pb 0.000 0.000 0.500 [2 per cell]
O 0.001 0.500 0.286 [4 per cell]
O 0.141 0.000 0.597 [4 per cell]


Here is a geometry-optimized Rb2PbO2 structure from the Alexandria database. Energies are from PBE.

## Properties
Uncorrected energy, eV/atom: -4.228
Calculated volume, Å³ per cell: 600.2
Formation energy without anion corrections, meV per atom: -1116
Theoretical density, Mg/m³: 4.54
Excess energy over the best structure of this formula in the dataset, meV per atom: 110

a = 13.185 Å, b = 5.553 Å, c = 8.278 Å
α = 90.00°, β = 97.92°, γ = 90.00°
Space group C2/m (No. 12)
One atom of each set of equivalent atoms:
Rb 0.030 0.000 0.260 [4 per cell]
Rb 0.146 0.500 0.919 [4 per cell]
Pb 0.232 0.500 0.371 [4 per cell]
O 0.084 0.500 0.235 [4 per cell]
O 0.177 0.000 0.820 [4 per cell]


Here is a geometry-optimized RbPb3O structure from the Alexandria database. Energies are from PBE.

## Properties
Uncorrected energy, eV/atom: -1.893
Calculated volume, Å³ per cell: 255.0
Formation energy without anion corrections, meV per atom: 1517
DOS(E_F), states/eV/f.u.: 6.4
Theoretical density, Mg/m³: 4.71
Excess energy over the best structure of this formula in the dataset, meV per atom: 1714

a = 6.341 Å, b = 6.341 Å, c = 6.341 Å
α = 90.00°, β = 90.00°, γ = 90.00°
Space group Pm-3m (No. 221)
One atom of each set of equivalent atoms:
Rb 0.000 0.000 0.000 [1 per cell]
Pb 0.000 0.000 0.500 [3 per cell]
O 0.500 0.500 0.500 [1 per cell]